SmZnGaCu6 | PBE-GGA | relaxed

Summary:
DOS(E_F) (states/eV per cell): 6.7
Energy of formation from the pure elements (eV/f.u.): 1.0

Cell: 6.923 8.781 7.388 Å, 126.46 117.94 90.00°
Fractional positions:
Cu  0.582  0.832  0.165
Ga  0.500  0.000  0.000
Ga  0.500  0.500  0.000
Cu  0.308  0.123  0.253
Cu  0.945  0.630  0.253
Cu  0.026  0.776  0.052
Cu  0.974  0.224  0.948
Zn  0.000  0.000  0.500
Sm  0.283  0.533  0.566
Cu  0.308  0.630  0.253
Sm  0.717  0.467  0.434
Cu  0.945  0.123  0.253
Zn  0.500  0.000  0.500
Cu  0.055  0.370  0.747
Cu  0.692  0.370  0.747
Cu  0.692  0.877  0.747
Cu  0.418  0.168  0.835
Cu  0.055  0.877  0.747


Ba2Cd4GaAu3 | PBE-GGA | relaxed

Summary:
DOS(E_F) (states/eV per cell): 5.5
Energy of formation from the pure elements (eV/f.u.): -4.3

Cell: 4.764 4.764 11.856 Å, 90.00 90.00 90.00°
Fractional positions:
Cd  0.500  0.500  0.000
Au  0.000  0.000  0.500
Ga  0.500  0.500  0.500
Cd  0.500  0.000  0.625
Ba  0.500  0.000  0.258
Cd  0.000  0.000  0.000
Cd  0.000  0.500  0.375
Au  0.500  0.000  0.861
Ba  0.000  0.500  0.742
Au  0.000  0.500  0.139


ZnPS2 | PBE-GGA | relaxed

Summary:
DOS(E_F) (states/eV per cell): 1.8
Formation energy without anion corrections (kJ/mol of formula units): 190
Relative energy among the computed polymorphs (eV/atom): 0.435

Cell: 4.456 4.456 4.456 Å, 60.00 60.00 60.00°
Fractional positions:
Zn  0.500  0.500  0.500
P  0.000  0.000  0.000
S  0.750  0.750  0.750
S  0.250  0.250  0.250


YSc2Zn | PBE-GGA | relaxed

Summary:
DOS(E_F) (states/eV per cell): 5.2
Energy of formation from the pure elements (eV/f.u.): -0.1

Cell: 10.030 10.030 10.030 Å, 19.41 19.41 19.41°
Fractional positions:
Zn  0.750  0.750  0.750
Sc  0.488  0.488  0.488
Y  0.250  0.250  0.250
Sc  0.012  0.012  0.012


OsPtSe2 | PBE-GGA | relaxed

Summary:
DOS(E_F) (states/eV per cell): 2.6
Formation energy without anion corrections (kJ/mol of formula units): 194
Relative energy among the computed polymorphs (eV/atom): 0.338

Cell: 3.037 3.037 7.152 Å, 90.00 90.00 90.00°
Fractional positions:
Os  0.500  0.500  0.250
Pt  0.500  0.500  0.750
Se  0.000  0.000  0.022
Se  0.000  0.000  0.478


CaLa3Sm4Se8 | PBE-GGA | relaxed

Summary:
DOS(E_F) (states/eV per cell): 8.9
Formation energy without anion corrections (kJ/mol of formula units): -2935

Cell: 8.464 8.463 8.464 Å, 120.00 120.00 90.00°
Fractional positions:
Se  0.752  0.245  0.994
Se  0.248  0.755  0.497
Se  0.752  0.245  0.503
Se  0.242  0.245  0.994
Sm  0.500  0.000  0.500
Sm  0.000  0.000  0.000
Sm  0.500  0.000  0.000
Se  0.758  0.755  0.006
Ca  0.000  0.500  0.000
La  0.500  0.500  0.500
Se  0.753  0.760  0.506
Se  0.248  0.755  0.006
Se  0.247  0.240  0.494
La  0.000  0.500  0.500
La  0.500  0.500  0.000
Sm  0.000  0.000  0.500


LiReAg2 | PBE-GGA | relaxed

Summary:
DOS(E_F) (states/eV per cell): 2.6
Energy of formation from the pure elements (eV/f.u.): 1.7
Relative energy among the computed polymorphs (eV/atom): 0.132

Cell: 5.015 5.015 5.066 Å, 83.14 83.14 30.71°
Last column: magnetic moment on the atom in μB.
Fractional positions:
Ag  0.251  0.251  0.270  0.01
Re  0.748  0.748  0.766  0.57
Ag  0.001  0.001  0.974  0.04
Li  0.499  0.499  0.490  0.00


TbY5Pd6 | PBE-GGA | relaxed

Summary:
DOS(E_F) (states/eV per cell): 8.2
Energy of formation from the pure elements (eV/f.u.): -10.5

Cell: 5.026 6.929 7.917 Å, 90.00 71.49 90.00°
Fractional positions:
Pd  0.166  0.250  0.667
Pd  0.166  0.750  0.667
Y  0.333  0.000  0.334
Y  0.667  0.000  0.666
Pd  0.500  0.249  0.000
Pd  0.500  0.751  0.000
Tb  0.000  0.000  0.000
Pd  0.834  0.250  0.333
Y  0.667  0.500  0.666
Y  0.000  0.500  0.000
Y  0.333  0.500  0.334
Pd  0.834  0.750  0.333


Sm6Er16Tm7 | PBE-GGA | relaxed

Summary:
DOS(E_F) (states/eV per cell): 47.9
Energy of formation from the pure elements (eV/f.u.): 7.0

Cell: 11.049 11.049 11.049 Å, 60.00 60.00 60.00°
Last column: magnetic moment on the atom in μB.
Fractional positions:
Sm  0.284  0.716  0.284  0.24
Er  0.036  0.655  0.655  0.23
Er  0.122  0.122  0.122  0.14
Tm  0.000  0.000  0.000  0.02
Er  0.345  0.345  0.964  0.23
Er  0.345  0.345  0.345  0.23
Er  0.655  0.655  0.655  0.23
Er  0.635  0.122  0.122  0.14
Sm  0.716  0.284  0.284  0.24
Er  0.878  0.878  0.878  0.14
Sm  0.284  0.284  0.716  0.24
Er  0.365  0.878  0.878  0.14
Tm  0.000  0.000  0.500  0.11
Tm  0.500  0.000  0.000  0.11
Tm  0.500  0.000  0.500  0.11
Er  0.655  0.036  0.655  0.23
Er  0.964  0.345  0.345  0.23
Tm  0.000  0.500  0.000  0.11
Sm  0.716  0.284  0.716  0.24
Er  0.655  0.655  0.036  0.23
Sm  0.284  0.716  0.716  0.24
Sm  0.716  0.716  0.284  0.24
Er  0.122  0.122  0.635  0.14
Er  0.345  0.964  0.345  0.23
Er  0.878  0.365  0.878  0.14
Tm  0.500  0.500  0.000  0.11
Er  0.878  0.878  0.365  0.14
Er  0.122  0.635  0.122  0.14
Tm  0.000  0.500  0.500  0.11


CeNdPbBr | PBE-GGA | relaxed

Summary:
DOS(E_F) (states/eV per cell): 6.9
Formation energy without anion corrections (kJ/mol of formula units): -283

Cell: 5.476 5.476 5.476 Å, 60.00 60.00 60.00°
Last column: magnetic moment on the atom in μB.
Fractional positions:
Pb  0.250  0.250  0.250  -0.05
Nd  0.500  0.500  0.500  0.27
Ce  0.000  0.000  0.000  1.06
Br  0.750  0.750  0.750  -0.02


K2NaNpF8 | PBE-GGA | relaxed

Summary:
DOS(E_F) (states/eV per cell): 11.1
Formation energy without anion corrections (kJ/mol of formula units): -3580

Cell: 5.923 5.923 7.025 Å, 114.93 114.93 90.00°
Last column: magnetic moment on the atom in μB.
Fractional positions:
K  0.750  0.250  0.500  0.00
F  0.356  0.846  0.273  -0.02
K  0.000  0.000  0.000  0.00
F  0.154  0.644  0.727  -0.02
F  0.573  0.644  0.727  -0.02
F  0.356  0.427  0.273  -0.02
F  0.154  0.083  0.727  -0.02
F  0.917  0.427  0.273  -0.02
Np  0.250  0.750  0.500  2.12
Na  0.500  0.500  0.000  0.00
F  0.573  0.083  0.727  -0.02
F  0.917  0.846  0.273  -0.02


FeHgRh2 | PBE-GGA | relaxed

Summary:
DOS(E_F) (states/eV per cell): 4.1
Energy of formation from the pure elements (eV/f.u.): 1.1

Cell: 9.081 9.081 9.081 Å, 17.91 17.91 17.91°
Last column: magnetic moment on the atom in μB.
Fractional positions:
Hg  0.752  0.752  0.752  -0.01
Fe  0.506  0.506  0.506  2.78
Rh  0.995  0.995  0.995  -0.57
Rh  0.247  0.247  0.247  -0.03